Record 1
## LaPb2Br (meta-GGA SCAN)

Data for LaPb2Br at its PBEsol-relaxed geometry.

uncorrected formation energy: -19.29 kcal/mol of atoms
raw total energy: -54.368 eV/atom
DOS at the Fermi energy: 2.3 states/eV/cell

Unit cell a=3.756 b=3.756 c=8.554 alpha=90.00 beta=90.00 gamma=90.00
Fractional coordinates of all 4 atoms:
Pb  0.000  0.000  0.790
Pb  0.500  0.500  0.000
Br  0.500  0.500  0.451
La  0.000  0.000  0.259



Record 2
## InNi (meta-GGA SCAN)

Data for InNi at its PBEsol-relaxed geometry.

raw total energy: -24.904 eV/atom
calculated formation energy: -125 meV/atom
DOS at the Fermi energy: 4.8 states/eV/cell

Unit cell a=4.269 b=6.583 c=6.663 alpha=64.69 beta=71.32 gamma=71.08
Fractional coordinates of all 10 atoms:
In  0.151  0.551  0.148
In  0.849  0.449  0.852
In  0.500  0.500  0.500
In  0.628  0.988  0.757
In  0.372  0.012  0.243
Ni  0.110  0.226  0.554
Ni  0.255  0.776  0.714
Ni  0.890  0.774  0.446
Ni  0.000  0.000  0.000
Ni  0.745  0.224  0.286